Entry 1:
Material: CaZrSb2
Method: DFT, PBE
State: optimized geometry

Electronic total energy: -20.8 eV/cell
Density of states at the Fermi level: 3.0 states/eV per cell
V: 101.6 Å³/cell
Offset from the most stable computed form: 0.291 eV/atom
Formation energy (no corrections): -0.510 eV per atom

Cell lengths 5.576, 5.576, 3.267 Å; angles 90.00, 90.00, 90.00 degrees
Space group P4/mmm (No. 123)
Symmetry-distinct sites (fractional):
Ca  0.000  0.000  0.000
Zr  0.500  0.500  0.000
Sb  0.000  0.500  0.500

Entry 2:
Material: CaZrSb2
Method: DFT, PBE
State: optimized geometry

Electronic total energy: -20.8 eV/cell
Density of states at the Fermi level: 2.6 states/eV per cell
V: 103.7 Å³/cell
Offset from the most stable computed form: 0.306 eV/atom
Formation energy (no corrections): -0.494 eV per atom

Cell lengths 4.017, 4.531, 5.696 Å; angles 90.00, 90.00, 90.00 degrees
Space group Pmmm (No. 47)
Symmetry-distinct sites (fractional):
Ca  0.000  0.000  0.000
Zr  0.000  0.500  0.500
Sb  0.500  0.000  0.500
Sb  0.500  0.500  0.000

Entry 3:
Material: CaZrSb
Method: DFT, PBE
State: optimized geometry

Electronic total energy: -31.4 eV/cell
Density of states at the Fermi level: 4.3 states/eV per cell
V: 163.7 Å³/cell
Formation energy (no corrections): -0.351 eV per atom

Cell lengths 3.833, 3.833, 11.140 Å; angles 90.00, 90.00, 90.00 degrees
Space group I4mm (No. 107)
Symmetry-distinct sites (fractional):
Ca  0.000  0.000  0.000
Zr  0.000  0.000  0.299
Sb  0.000  0.000  0.687

Entry 4:
Material: CaZr2Sb
Method: DFT, PBE
State: optimized geometry

Electronic total energy: -24.4 eV/cell
Density of states at the Fermi level: 3.8 states/eV per cell
V: 104.3 Å³/cell
Formation energy (no corrections): -0.300 eV per atom

Cell lengths 3.760, 3.760, 7.382 Å; angles 90.00, 90.00, 90.00 degrees
Space group P4mm (No. 99)
Symmetry-distinct sites (fractional):
Ca  0.000  0.000  0.000
Zr  0.000  0.000  0.472
Zr  0.500  0.500  0.689
Sb  0.500  0.500  0.271

Entry 5:
Material: Ca3Sc
Method: DFT, PBE
State: optimized geometry

Electronic total energy: -11.6 eV/cell
Density of states at the Fermi level: 6.6 states/eV per cell
V: 145.8 Å³/cell
Offset from the most stable computed form: 0.031 eV/atom

Cell lengths 3.706, 5.161, 7.620 Å; angles 90.00, 90.28, 90.00 degrees
Space group P2/m (No. 10)
Symmetry-distinct sites (fractional):
Ca  0.000  0.000  0.000
Ca  0.499  0.500  0.732
Sc  0.000  0.000  0.500

Entry 6:
Material: CaSc
Method: DFT, PBE
State: optimized geometry

Electronic total energy: -7.7 eV/cell
Density of states at the Fermi level: 4.0 states/eV per cell
V: 62.7 Å³/cell
Offset from the most stable computed form: 0.184 eV/atom

Cell lengths 3.973, 3.973, 3.973 Å; angles 90.00, 90.00, 90.00 degrees
Space group Pm-3m (No. 221)
Symmetry-distinct sites (fractional):
Ca  0.000  0.000  0.000
Sc  0.500  0.500  0.500

Entry 7:
Material: Ca5Sc3
Method: DFT, PBE
State: optimized geometry

Electronic total energy: -53.2 eV/cell
Density of states at the Fermi level: 29.3 states/eV per cell
V: 562.1 Å³/cell

Cell lengths 9.9625, 9.9625, 6.5392 Å; angles 90.00, 90.00, 120.00 degrees
Space group P6_3/mcm (No. 193)
Symmetry-distinct sites (fractional):
Ca  0.0000  0.2417  0.2500
Ca  0.3333  0.6667  0.0000
Sc  0.0000  0.4169  0.7500

Entry 8:
Material: CaSc3
Method: DFT, PBE
State: optimized geometry

Electronic total energy: -40.6 eV/cell
Density of states at the Fermi level: 15.8 states/eV per cell
V: 221.9 Å³/cell

Cell lengths 3.812, 5.299, 10.986 Å; angles 90.00, 90.00, 90.00 degrees
Space group Cmmm (No. 65)
Symmetry-distinct sites (fractional):
Ca  0.000  0.000  0.000
Sc  0.000  0.000  0.500
Sc  0.000  0.500  0.275

Entry 9:
Material: CaSc
Method: DFT, PBE
State: optimized geometry

Electronic total energy: -15.2 eV/cell
Density of states at the Fermi level: 6.3 states/eV per cell
V: 125.9 Å³/cell
Offset from the most stable computed form: 0.246 eV/atom

Cell lengths 3.4347, 3.4347, 12.3263 Å; angles 90.00, 90.00, 120.00 degrees
Space group P6_3mc (No. 186)
Symmetry-distinct sites (fractional):
Ca  0.3333  0.6667  0.0000
Sc  0.3333  0.6667  0.2627

Entry 10:
Material: CaSc
Method: DFT, PBE
State: optimized geometry

Electronic total energy: -57.3 eV/cell
Density of states at the Fermi level: 28.8 states/eV per cell
V: 660.5 Å³/cell
Offset from the most stable computed form: 0.468 eV/atom

Cell lengths 14.005, 14.005, 3.368 Å; angles 90.00, 90.00, 90.00 degrees
Space group I4/m (No. 87)
Symmetry-distinct sites (fractional):
Ca  0.060  0.661  0.000
Sc  0.161  0.219  0.000

Entry 11:
Material: CaSc2
Method: DFT, PBE
State: optimized geometry

Electronic total energy: -57.4 eV/cell
Density of states at the Fermi level: 26.5 states/eV per cell
V: 356.1 Å³/cell
Offset from the most stable computed form: 0.009 eV/atom

Cell lengths 3.413, 20.840, 5.007 Å; angles 90.00, 90.00, 90.00 degrees
Space group Cmcm (No. 63)
Symmetry-distinct sites (fractional):
Ca  0.000  0.196  0.250
Sc  0.000  0.037  0.250
Sc  0.000  0.404  0.250

Entry 12:
Material: CaSc
Method: DFT, PBE
State: optimized geometry

Electronic total energy: -117.3 eV/cell
Density of states at the Fermi level: 42.1 states/eV per cell
V: 1048.3 Å³/cell
Offset from the most stable computed form: 0.384 eV/atom

Cell lengths 8.817, 9.622, 12.357 Å; angles 90.00, 90.00, 90.00 degrees
Space group Fddd (No. 70, origin choice 2)
Symmetry-distinct sites (fractional):
Ca  0.125  0.306  0.125
Sc  0.036  0.375  0.875